Entry from Alexandria via LeMat-Bulk: a geometry-optimized HfSc5Al2 structure (PBE).

- SG: No. 55
- Size of the total moment: 0.0 μB/cell
- DFT formation energy: -0.23 eV per atom
- D(E_F): 19.84 states/eV per cell
- Total energy: -6.3694 eV per atom

Unit cell a=4.379 b=6.238 c=12.465 alpha=90.00 beta=90.00 gamma=90.00
Fractional positions:
Al: 0.500 0.246 0.624
Al: 0.500 0.754 0.376
Al: 0.500 0.254 0.124
Al: 0.500 0.746 0.876
Sc: 0.000 0.000 0.000
Sc: 0.500 0.245 0.378
Sc: 0.500 0.755 0.622
Sc: 0.000 0.003 0.253
Sc: 0.000 0.497 0.753
Sc: 0.500 0.255 0.878
Sc: 0.000 0.500 0.500
Sc: 0.000 0.997 0.747
Sc: 0.500 0.745 0.122
Sc: 0.000 0.503 0.247
Hf: 0.000 0.000 0.500
Hf: 0.000 0.500 0.000